1.
DFT (PBE) results for a geometry-optimized SrBi2I structure.

a = 5.8719 Å, b = 5.8719 Å, c = 5.8719 Å
α = 60.00°, β = 60.00°, γ = 60.00°
Closest atoms and distances in Å follow each position.
Positions (direct):
Sr 0.0000 0.0000 0.0000  8 Bi 3.60
Bi 0.2500 0.2500 0.2500  4 I 3.60, 4 Sr 3.60
Bi 0.7500 0.7500 0.7500  4 I 3.60, 4 Sr 3.60
I 0.5000 0.5000 0.5000  8 Bi 3.60

Output
* E above lowest polymorph: 559 meV/atom

2.
DFT (PBE) results for a geometry-optimized InGa2Se structure.

a = 7.3731 Å, b = 7.3731 Å, c = 7.3731 Å
α = 129.65°, β = 129.65°, γ = 73.96°
Closest atoms and distances in Å follow each position.
Positions (direct):
In 0.0000 0.0000 0.0000  4 Ga 2.72
In 0.7500 0.2500 0.5000  4 Ga 2.72
Ga 0.1396 0.6250 0.0146  2 Se 2.61, 2 In 2.72
Ga 0.3750 0.3896 0.5146  2 Se 2.61, 2 In 2.72
Ga 0.6104 0.1250 0.9854  2 Se 2.61, 2 In 2.72
Ga 0.8750 0.8604 0.4854  2 Se 2.61, 2 In 2.72
Se 0.2500 0.7500 0.5000  4 Ga 2.61
Se 0.5000 0.5000 0.0000  4 Ga 2.61

Output
* E above lowest polymorph: 23 meV/atom

What did the second record say?
DFT (PBE) results for a geometry-optimized InGa2Se structure.

a = 7.3731 Å, b = 7.3731 Å, c = 7.3731 Å
α = 129.65°, β = 129.65°, γ = 73.96°
Closest atoms and distances in Å follow each position.
Positions (direct):
In 0.0000 0.0000 0.0000  4 Ga 2.72
In 0.7500 0.2500 0.5000  4 Ga 2.72
Ga 0.1396 0.6250 0.0146  2 Se 2.61, 2 In 2.72
Ga 0.3750 0.3896 0.5146  2 Se 2.61, 2 In 2.72
Ga 0.6104 0.1250 0.9854  2 Se 2.61, 2 In 2.72
Ga 0.8750 0.8604 0.4854  2 Se 2.61, 2 In 2.72
Se 0.2500 0.7500 0.5000  4 Ga 2.61
Se 0.5000 0.5000 0.0000  4 Ga 2.61

Output
* E above lowest polymorph: 23 meV/atom

What is the E above lowest polymorph in the first record?
559 meV/atom